Be2TlAs: optimized geometry, GGA-PBE.

Structure (POSCAR):
```
Be2TlAs
1.0
3.5654 0.0000 0.0000
0.0000 3.6904 0.0000
0.0000 0.0000 5.1386
Be Tl As
2 1 1
Cartesian
0.0000 0.0000 0.0000
0.0000 1.8452 2.5693
1.7827 0.0000 2.5693
1.7827 1.8452 0.0000
```

Properties
**ΔE_f**: 0.69 eV per atom
**E**: -11.7 eV/cell
**Size of the total moment**: 0.000 μB/atom
**Fermi-level density of states**: 1.07 states/eV/cell
**Volume**: 16.9 Å³/atom